KTl2ClO | PBE | relaxed

final energy	-35.4	eV for the cell shown
magnetic moment	0.00	μB per formula unit

a = 6.679 Å, b = 6.007 Å, c = 8.525 Å
α = 90.00°, β = 106.42°, γ = 90.00°
Space group P2_1/m (No. 11)
Inequivalent atoms, fractional coordinates:
K1 0.203 0.250 0.414
Tl1 0.072 0.250 0.886
Tl2 0.378 0.750 0.894
Cl1 0.280 0.750 0.531
O1 0.045 0.750 0.888